Entry 1
First-principles (PBE-GGA) data for Na3MnIn after structural relaxation, as listed in Alexandria via LeMat-Bulk.

Cell and atoms, written as CIF:
```
data_Na3MnIn
_chemical_formula_sum 'Na3 Mn1 In1'
_space_group_name_H-M_alt 'P m -3 m'
_space_group_IT_number 221
_space_group_name_Hall '-P 4 2 3'
_cell_length_a 5.823
_cell_length_b 5.823
_cell_length_c 5.823
_cell_angle_alpha 90.00
_cell_angle_beta 90.00
_cell_angle_gamma 90.00
loop_
_atom_site_label
_atom_site_type_symbol
_atom_site_fract_x
_atom_site_fract_y
_atom_site_fract_z
Na1 Na 0.000 0.000 0.500
Mn1 Mn 0.500 0.500 0.500
In1 In 0.000 0.000 0.000
```

Mass density, Mg/m³: 2.01
Total magnetization, μB per formula unit: 4.7
DOS(E_F), states/eV/f.u.: 4.1



Entry 2
First-principles (PBE-GGA) data for Na3MnIn after structural relaxation, as listed in Alexandria via LeMat-Bulk.

Cell and atoms, written as CIF:
```
data_Na3MnIn
_chemical_formula_sum 'Na3 Mn1 In1'
_space_group_name_H-M_alt 'P m -3 m'
_space_group_IT_number 221
_space_group_name_Hall '-P 4 2 3'
_cell_length_a 5.690
_cell_length_b 5.690
_cell_length_c 5.690
_cell_angle_alpha 90.00
_cell_angle_beta 90.00
_cell_angle_gamma 90.00
loop_
_atom_site_label
_atom_site_type_symbol
_atom_site_fract_x
_atom_site_fract_y
_atom_site_fract_z
Na1 Na 0.000 0.000 0.500
Mn1 Mn 0.000 0.000 0.000
In1 In 0.500 0.500 0.500
```

Mass density, Mg/m³: 2.15
Total magnetization, μB per formula unit: 4.4
DOS(E_F), states/eV/f.u.: 5.2



entry 2 is favored, and the nearest alternative lies 1.5 kJ/mol of atoms above it.



Entry 1
First-principles (PBE-GGA) data for Mn3InNi after structural relaxation, as listed in Alexandria via LeMat-Bulk.

Cell and atoms, written as CIF:
```
data_Mn3InNi
_chemical_formula_sum 'Mn3 In1 Ni1'
_space_group_name_H-M_alt 'P m -3 m'
_space_group_IT_number 221
_space_group_name_Hall '-P 4 2 3'
_cell_length_a 4.951
_cell_length_b 4.951
_cell_length_c 4.951
_cell_angle_alpha 90.00
_cell_angle_beta 90.00
_cell_angle_gamma 90.00
loop_
_atom_site_label
_atom_site_type_symbol
_atom_site_fract_x
_atom_site_fract_y
_atom_site_fract_z
Mn1 Mn 0.000 0.000 0.500
In1 In 0.000 0.000 0.000
Ni1 Ni 0.500 0.500 0.500
```

Mass density, Mg/m³: 4.63
Total magnetization, μB per formula unit: 12.9
DOS(E_F), states/eV/f.u.: 7.0



Entry 2
First-principles (PBE-GGA) data for Mn3InNi after structural relaxation, as listed in Alexandria via LeMat-Bulk.

Cell and atoms, written as CIF:
```
data_Mn3InNi
_chemical_formula_sum 'Mn3 In1 Ni1'
_space_group_name_H-M_alt 'P m -3 m'
_space_group_IT_number 221
_space_group_name_Hall '-P 4 2 3'
_cell_length_a 4.533
_cell_length_b 4.533
_cell_length_c 4.533
_cell_angle_alpha 90.00
_cell_angle_beta 90.00
_cell_angle_gamma 90.00
loop_
_atom_site_label
_atom_site_type_symbol
_atom_site_fract_x
_atom_site_fract_y
_atom_site_fract_z
Mn1 Mn 0.000 0.000 0.500
In1 In 0.500 0.500 0.500
Ni1 Ni 0.000 0.000 0.000
```

Mass density, Mg/m³: 6.03
Total magnetization, μB per formula unit: 12.1
DOS(E_F), states/eV/f.u.: 6.0



entry 2 is favored, and the nearest alternative lies 93.8 kJ/mol of atoms above it.